(1)
Computed, not measured: a geometry-optimized NaZrMo structure at the GGA-PBE level of DFT.

Output
* space-group type: F-43m (216)
* E: -5.1343 eV per atom

Lattice parameters (Å, degrees): 4.5045 4.5045 4.5045 60.00 60.00 60.00
With the nearest neighbours (Å) after each atom.
Fractional coordinates of all 3 atoms:
Na (0.0000, 0.0000, 0.0000)  4 Zr 2.76, 4 Mo 2.76
Zr (0.2500, 0.2500, 0.2500)  4 Na 2.76
Mo (0.7500, 0.7500, 0.7500)  4 Na 2.76

---

(2)
Computed, not measured: a geometry-optimized Pr3Dy2YCoTe2 structure at the GGA-PBE level of DFT.

Output
* space-group type: Amm2 (38)
* E: -5.5284 eV per atom

Lattice parameters (Å, degrees): 4.0371 8.5178 8.5178 120.10 90.00 90.00
With the nearest neighbours (Å) after each atom.
Fractional coordinates of all 9 atoms:
Pr (0.0000, 0.0000, 0.0000)  4 Te 3.29, 1 Co 3.39, 4 Dy 3.60
Pr (0.0000, 0.1935, 0.5985)  4 Te 3.28, 1 Co 3.46, 2 Dy 3.60, 2 Y 3.62
Pr (0.0000, 0.5985, 0.1935)  4 Te 3.28, 1 Co 3.46, 2 Dy 3.60, 2 Y 3.62
Dy (0.5000, 0.5972, 0.8278)  2 Co 2.81
Dy (0.5000, 0.8278, 0.5972)  2 Co 2.81
Y (0.5000, 0.3645, 0.3645)  2 Co 2.85
Co (0.0000, 0.6008, 0.6008)  4 Dy 2.81, 2 Y 2.85
Te (0.5000, 0.2645, 0.9316)  6 Pr 3.28-3.29, 1 Y 3.34, 2 Dy 3.36-3.37
Te (0.5000, 0.9316, 0.2645)  6 Pr 3.28-3.29, 1 Y 3.34, 2 Dy 3.36-3.37

---

(3)
Computed, not measured: a geometry-optimized CsHfO3 structure at the GGA-PBE level of DFT.

Output
* space-group type: R-3 (148)
* E: -7.5702 eV per atom

Lattice parameters (Å, degrees): 7.1687 7.1687 7.1687 48.43 48.43 48.43
With the nearest neighbours (Å) after each atom.
Fractional coordinates of all 10 atoms:
Cs (0.1270, 0.1270, 0.1270)  6 O 2.90-3.24
Cs (0.8730, 0.8730, 0.8730)  6 O 2.90-3.24
Hf (0.3357, 0.3357, 0.3357)  6 O 2.07-2.09
Hf (0.6643, 0.6643, 0.6643)  6 O 2.07-2.09
O (0.0568, 0.6186, 0.5071)  2 Hf 2.07-2.09
O (0.3814, 0.4929, 0.9432)  2 Hf 2.07-2.09
O (0.4929, 0.9432, 0.3814)  2 Hf 2.07-2.09
O (0.5071, 0.0568, 0.6186)  2 Hf 2.07-2.09
O (0.6186, 0.5071, 0.0568)  2 Hf 2.07-2.09
O (0.9432, 0.3814, 0.4929)  2 Hf 2.07-2.09

---

(4)
Computed, not measured: a geometry-optimized BaCu2Sb4 structure at the GGA-PBE level of DFT.

Output
* space-group type: P1 (1)
* E: -3.7610 eV per atom

Lattice parameters (Å, degrees): 3.7145 6.3875 16.0814 88.28 84.15 74.23
With the nearest neighbours (Å) after each atom.
Fractional coordinates of all 14 atoms:
Ba (0.0000, 0.0000, 0.0000)  2 Cu 3.39-3.53, 8 Sb 3.48-3.58, 2 Ba 3.71
Ba (0.2416, 0.5098, 0.4979)  2 Cu 3.39-3.53, 8 Sb 3.48-3.58, 2 Ba 3.71
Cu (0.0959, 0.0050, 0.7795)  6 Sb 2.66-2.81
Cu (0.1466, 0.5050, 0.7187)  6 Sb 2.65-2.82
Cu (0.3519, 0.5030, 0.2862)  6 Sb 2.68-2.77
Cu (0.8907, 0.0081, 0.2118)  6 Sb 2.67-2.77
Sb (0.2857, 0.2905, 0.1500)  3 Cu 2.68-2.73
Sb (0.4552, 0.2837, 0.8477)  3 Cu 2.65-2.80
Sb (0.5625, 0.7173, 0.1524)  3 Cu 2.68-2.77
Sb (0.5684, 0.7849, 0.6527)  3 Cu 2.68-2.80
Sb (0.6712, 0.7245, 0.8456)  3 Cu 2.68-2.81
Sb (0.6803, 0.7931, 0.3456)  3 Cu 2.68-2.77
Sb (0.7853, 0.2249, 0.6497)  3 Cu 2.66-2.82
Sb (0.9565, 0.2199, 0.3478)  3 Cu 2.67-2.73

---

(5)
Computed, not measured: a geometry-optimized Nd3PN2 structure at the GGA-PBE level of DFT.

Output
* space-group type: P-3m1 (164)
* E: -7.3754 eV per atom

Lattice parameters (Å, degrees): 3.7768 3.7768 9.4843 90.00 90.00 120.00
With the nearest neighbours (Å) after each atom.
Fractional coordinates of all 6 atoms:
Nd (0.0000, 0.0000, 0.0000)  6 N 2.62
Nd (0.3333, 0.6667, 0.3050)  3 N 2.61, 3 P 2.86
Nd (0.6667, 0.3333, 0.6950)  3 N 2.61, 3 P 2.86
P (0.0000, 0.0000, 0.5000)  6 Nd 2.86
N (0.3333, 0.6667, 0.8462)  6 Nd 2.61-2.62
N (0.6667, 0.3333, 0.1538)  6 Nd 2.61-2.62

---

(6)
Computed, not measured: a geometry-optimized CuPt6 structure at the GGA-PBE level of DFT.

Output
* ΔH_f (0 K): 0.1 eV per formula unit
* space-group type: Fm-3m (225)

Lattice parameters (Å, degrees): 5.4548 5.4548 5.4548 60.00 60.00 60.00
With the nearest neighbours (Å) after each atom.
Fractional coordinates of all 7 atoms:
Cu (0.0000, 0.0000, 0.0000)  12 Pt 2.73
Pt (0.0000, 0.0000, 0.5000)  2 Cu 2.73, 8 Pt 2.73
Pt (0.0000, 0.5000, 0.0000)  2 Cu 2.73, 8 Pt 2.73
Pt (0.0000, 0.5000, 0.5000)  8 Pt 2.73, 2 Cu 2.73
Pt (0.5000, 0.0000, 0.0000)  2 Cu 2.73, 8 Pt 2.73
Pt (0.5000, 0.0000, 0.5000)  8 Pt 2.73, 2 Cu 2.73
Pt (0.5000, 0.5000, 0.0000)  8 Pt 2.73, 2 Cu 2.73

---

(7)
Computed, not measured: a geometry-optimized Cs4Pr6C2I13 structure at the GGA-PBE level of DFT.

Output
* space-group type: I4_1/amd (141)
* E: -4.1376 eV per atom

Lattice parameters (Å, degrees): 14.4570 14.4570 14.4570 101.40 101.40 127.20
With the nearest neighbours (Å) after each atom.
Fractional coordinates of all 50 atoms:
Cs (0.2218, 0.4718, 0.4436)  7 I 3.97-4.27
Cs (0.2218, 0.7782, 0.7500)  7 I 3.97-4.27
Cs (0.4718, 0.2218, 0.9436)  7 I 3.97-4.27
Cs (0.4718, 0.5282, 0.2500)  7 I 3.97-4.27
Cs (0.5282, 0.4718, 0.7500)  7 I 3.97-4.27
Cs (0.5282, 0.7782, 0.0564)  7 I 3.97-4.27
Cs (0.7782, 0.2218, 0.2500)  7 I 3.97-4.27
Cs (0.7782, 0.5282, 0.5564)  7 I 3.97-4.27
Pr (0.0123, 0.1235, 0.8888)  2 C 2.63-2.64
Pr (0.1087, 0.3587, 0.7500)  1 C 2.31
Pr (0.1235, 0.0123, 0.3888)  2 C 2.63-2.64
Pr (0.1235, 0.7347, 0.1112)  2 C 2.63-2.64
Pr (0.2653, 0.8765, 0.3888)  2 C 2.63-2.64
Pr (0.3587, 0.1087, 0.2500)  1 C 2.31
Pr (0.6413, 0.8913, 0.7500)  1 C 2.31
Pr (0.7347, 0.1235, 0.6112)  2 C 2.63-2.64
Pr (0.8765, 0.2653, 0.8888)  2 C 2.63-2.64
Pr (0.8765, 0.9877, 0.6112)  2 C 2.63-2.64
Pr (0.8913, 0.6413, 0.2500)  1 C 2.31
Pr (0.9877, 0.8765, 0.1112)  2 C 2.63-2.64
C (0.0709, 0.8209, 0.2500)  1 C 1.39
C (0.1791, 0.9291, 0.2500)  1 C 1.39
C (0.8209, 0.0709, 0.7500)  1 C 1.39
C (0.9291, 0.1791, 0.7500)  1 C 1.39
I (0.0464, 0.2964, 0.0928)  2 Pr 3.20
I (0.0464, 0.9536, 0.7500)  2 Pr 3.20
I (0.0493, 0.6226, 0.4267)  2 Pr 3.24-3.34
I (0.1304, 0.2079, 0.5775)  3 Pr 3.17-3.46
I (0.1304, 0.5530, 0.9225)  3 Pr 3.17-3.46
I (0.2079, 0.1304, 0.0775)  3 Pr 3.17-3.46
I (0.2964, 0.0464, 0.5928)  2 Pr 3.20
I (0.2964, 0.7036, 0.2500)  2 Pr 3.20
I (0.3041, 0.3774, 0.9267)  2 Pr 3.24-3.34
I (0.3750, 0.6250, 0.7500)  2 Pr 3.42
I (0.3774, 0.3041, 0.4267)  2 Pr 3.24-3.34
I (0.3774, 0.9507, 0.0733)  2 Pr 3.24-3.34
I (0.4470, 0.8696, 0.5775)  3 Pr 3.17-3.46
I (0.5530, 0.1304, 0.4225)  3 Pr 3.17-3.46
I (0.6226, 0.0493, 0.9267)  2 Pr 3.24-3.34
I (0.6226, 0.6959, 0.5733)  2 Pr 3.24-3.34
I (0.6250, 0.3750, 0.2500)  2 Pr 3.42
I (0.6959, 0.6226, 0.0733)  2 Pr 3.24-3.34
I (0.7036, 0.2964, 0.7500)  2 Pr 3.20
I (0.7036, 0.9536, 0.4072)  2 Pr 3.20
I (0.7921, 0.8696, 0.9225)  3 Pr 3.17-3.46
I (0.8696, 0.4470, 0.0775)  3 Pr 3.17-3.46
I (0.8696, 0.7921, 0.4225)  3 Pr 3.17-3.46
I (0.9507, 0.3774, 0.5733)  2 Pr 3.24-3.34
I (0.9536, 0.0464, 0.2500)  2 Pr 3.20
I (0.9536, 0.7036, 0.9072)  2 Pr 3.20

---

(8)
Computed, not measured: a geometry-optimized LiLaTlCd structure at the GGA-PBE level of DFT.

Output
* excess energy over the best structure of this formula in the dataset: 77.8 meV per atom
* space-group type: F-43m (216)

Lattice parameters (Å, degrees): 5.1783 5.1783 5.1783 60.00 60.00 60.00
With the nearest neighbours (Å) after each atom.
Fractional coordinates of all 4 atoms:
Li (0.0000, 0.0000, 0.0000)  4 Tl 3.17, 4 La 3.17
La (0.7500, 0.7500, 0.7500)  4 Cd 3.17, 4 Li 3.17
Tl (0.2500, 0.2500, 0.2500)  4 Cd 3.17, 4 Li 3.17
Cd (0.5000, 0.5000, 0.5000)  4 Tl 3.17, 4 La 3.17

---

(9)
Computed, not measured: a geometry-optimized AcHo structure at the GGA-PBE level of DFT.

Output
* excess energy over the best structure of this formula in the dataset: 0.0 meV per atom
* ΔH_f (0 K): 0.2 eV per formula unit
* space-group type: P-6m2 (187)

Lattice parameters (Å, degrees): 3.8096 3.8096 5.9650 90.00 90.00 120.00
With the nearest neighbours (Å) after each atom.
Fractional coordinates of all 2 atoms:
Ac (0.0000, 0.0000, 0.0000)  6 Ho 3.71, 6 Ac 3.81
Ho (0.6667, 0.3333, 0.5000)  6 Ac 3.71, 6 Ho 3.81

---

(10)
Computed, not measured: a geometry-optimized YBPt structure at the GGA-PBE level of DFT.

Output
* excess energy over the best structure of this formula in the dataset: 810.5 meV per atom
* space-group type: F-43m (216)

Lattice parameters (Å, degrees): 4.4574 4.4574 4.4574 60.00 60.00 60.00
With the nearest neighbours (Å) after each atom.
Fractional coordinates of all 3 atoms:
Y (0.0000, 0.0000, 0.0000)  4 B 2.73, 4 Pt 2.73
B (0.7500, 0.7500, 0.7500)  4 Y 2.73
Pt (0.2500, 0.2500, 0.2500)  4 Y 2.73

---

(11)
Computed, not measured: a geometry-optimized ErTmAl3Ge2 structure at the GGA-PBE level of DFT.

Output
* space-group type: Cm (8)
* E: -4.7330 eV per atom

Lattice parameters (Å, degrees): 5.4785 5.4785 6.7121 98.95 98.95 43.35
With the nearest neighbours (Å) after each atom.
Fractional coordinates of all 7 atoms:
Er (0.0000, 0.0000, 0.0000)  5 Ge 2.85-3.04, 4 Al 3.03-3.19
Tm (0.2317, 0.2317, 0.6327)  5 Ge 2.85-3.04, 4 Al 3.02-3.19
Al (0.3135, 0.3135, 0.1931)  2 Ge 2.66, 2 Al 2.72
Al (0.6161, 0.6161, 0.3168)  2 Ge 2.77-2.78, 2 Tm 3.02, 2 Er 3.03, 6 Al 3.05-3.07
Al (0.9181, 0.9181, 0.4403)  2 Ge 2.65, 2 Al 2.72
Ge (0.5153, 0.5153, 0.6756)  1 Ge 2.54, 3 Al 2.65-2.77
Ge (0.7163, 0.7163, 0.9563)  1 Ge 2.54, 3 Al 2.66-2.78

---

Repeat the fifth record exactly.
Computed, not measured: a geometry-optimized Nd3PN2 structure at the GGA-PBE level of DFT.

Output
* space-group type: P-3m1 (164)
* E: -7.3754 eV per atom

Lattice parameters (Å, degrees): 3.7768 3.7768 9.4843 90.00 90.00 120.00
With the nearest neighbours (Å) after each atom.
Fractional coordinates of all 6 atoms:
Nd (0.0000, 0.0000, 0.0000)  6 N 2.62
Nd (0.3333, 0.6667, 0.3050)  3 N 2.61, 3 P 2.86
Nd (0.6667, 0.3333, 0.6950)  3 N 2.61, 3 P 2.86
P (0.0000, 0.0000, 0.5000)  6 Nd 2.86
N (0.3333, 0.6667, 0.8462)  6 Nd 2.61-2.62
N (0.6667, 0.3333, 0.1538)  6 Nd 2.61-2.62